[1]
A crystal of Li2Fe2Si8O19 relaxed with PBEsol, computed with SCAN.

Unit cell a=5.0432 b=7.5121 c=12.3653 alpha=70.43 beta=78.23 gamma=70.39
Sites, in units of the cell vectors:
1 O 0.9417 0.2092 0.9220
2 O 0.5606 0.7589 0.1368
3 O 0.6721 0.0561 0.1720
4 O 0.8835 0.6873 0.2975
5 O 0.0729 0.7908 0.0780
6 O 0.2439 0.7861 0.3883
7 O 0.0495 0.5537 0.8874
8 O 0.4563 0.2411 0.8632
9 O 0.8684 0.3127 0.7025
10 O 0.6836 0.8562 0.4723
11 O 0.7452 0.7651 0.7087
12 O 0.0121 0.1438 0.5277
13 O 0.5160 0.7515 0.9267
14 O 0.2190 0.2349 0.2913
15 O 0.4183 0.2139 0.6117
16 O 0.9002 0.9439 0.8280
17 O 0.1943 0.2485 0.0733
18 O 0.4906 0.4463 0.1126
19 O 0.9887 0.5000 0.5000
20 Si 0.7930 0.1708 0.8311
21 Si 0.1586 0.3151 0.9371
22 Si 0.3884 0.2466 0.1646
23 Si 0.4107 0.6849 0.0629
24 Si 0.7996 0.7534 0.8354
25 Si 0.0971 0.2769 0.5891
26 Si 0.7948 0.8292 0.1689
27 Si 0.9631 0.7231 0.4109
28 Fe 0.7196 0.9997 0.5750
29 Fe 0.2944 0.0003 0.4250
30 Li 0.9311 0.3964 0.3662
31 Li 0.6936 0.6036 0.6338

Crystal system = monoclinic
Symmetry = C2

=====

[2]
A crystal of LiFeSiO4 relaxed with PBEsol, computed with SCAN.

Unit cell a=4.4337 b=4.4337 c=5.2834 alpha=114.81 beta=114.81 gamma=90.00
Sites, in units of the cell vectors:
1 O 0.8700 0.3003 0.2186
2 O 0.0817 0.1300 0.7814
3 O 0.6997 0.6514 0.7814
4 O 0.3486 0.9183 0.2186
5 Li 0.5000 0.5000 0.0000
6 Fe 0.7500 0.2500 0.5000
7 Si 0.0000 0.0000 0.0000

Crystal system = tetragonal
E above lowest polymorph = 374 meV per atom
Symmetry = I-4

=====

[3]
A crystal of Li2FeSiO4 relaxed with PBEsol, computed with SCAN.

Unit cell a=5.0146 b=5.0146 c=11.3740 alpha=90.00 beta=90.00 gamma=120.00
Sites, in units of the cell vectors:
1 O 0.8603 0.7124 0.4588
2 O 0.5650 0.8789 0.6100
3 O 0.7124 0.8603 0.8745
4 O 0.6861 0.1211 0.3900
5 O 0.4350 0.3139 0.0567
6 O 0.1479 0.2876 0.5412
7 O 0.8521 0.1397 0.1255
8 O 0.8789 0.5650 0.7233
9 O 0.3139 0.4350 0.2767
10 O 0.2876 0.1479 0.7921
11 O 0.1397 0.8521 0.2079
12 O 0.1211 0.6861 0.9433
13 Fe 0.0000 0.5442 0.3333
14 Fe 0.4558 0.4558 0.6667
15 Fe 0.5442 0.0000 0.0000
16 Li 0.6714 0.1177 0.7531
17 Li 0.5537 0.8823 0.2469
18 Li 0.4463 0.3286 0.4197
19 Li 0.1177 0.6714 0.5803
20 Li 0.8823 0.5537 0.0864
21 Li 0.3286 0.4463 0.9136
22 Si 0.1888 0.1888 0.1667
23 Si 0.8112 0.0000 0.5000
24 Si 0.0000 0.8112 0.8333

Crystal system = trigonal
E above lowest polymorph = 42 meV per atom
Symmetry = P3_121

=====

[4]
A crystal of Li2FeSi3O8 relaxed with PBEsol, computed with SCAN.

Unit cell a=6.5150 b=6.7640 c=8.0532 alpha=90.00 beta=90.00 gamma=109.65
Sites, in units of the cell vectors:
1 O 0.4117 0.2628 0.8554
2 O 0.6096 0.8873 0.6616
3 O 0.7634 0.1582 0.4068
4 O 0.2169 0.4905 0.6872
5 O 0.2366 0.8418 0.9068
6 O 0.3353 0.9488 0.4644
7 O 0.3904 0.1127 0.1616
8 O 0.1269 0.4009 0.0190
9 O 0.6647 0.0512 0.9644
10 O 0.9968 0.8993 0.2770
11 O 0.7831 0.5095 0.1872
12 O 0.2269 0.2946 0.3766
13 O 0.7731 0.7054 0.8766
14 O 0.5883 0.7372 0.3554
15 O 0.8731 0.5991 0.5190
16 O 0.0032 0.1007 0.7770
17 Si 0.7684 0.9316 0.8249
18 Si 0.5870 0.9435 0.4670
19 Si 0.8166 0.6754 0.3375
20 Si 0.2316 0.0684 0.3249
21 Si 0.4130 0.0565 0.9670
22 Si 0.1834 0.3246 0.8375
23 Fe 0.0137 0.3811 0.4986
24 Fe 0.9863 0.6189 0.9986
25 Li 0.8147 0.2351 0.1730
26 Li 0.6258 0.5272 0.6956
27 Li 0.1853 0.7649 0.6730
28 Li 0.3742 0.4728 0.1956

Crystal system = monoclinic
E above lowest polymorph = 0 meV per atom
Symmetry = P2_1

=====

[5]
A crystal of LiFeSiO4 relaxed with PBEsol, computed with SCAN.

Unit cell a=8.1929 b=8.6392 c=8.6392 alpha=120.00 beta=90.00 gamma=90.00
Sites, in units of the cell vectors:
1 Li 0.2280 0.3333 0.6667
2 Li 0.7210 0.3333 0.6667
3 Li 0.9118 0.0000 0.0000
4 Li 0.4118 0.0000 0.0000
5 Li 0.2210 0.6667 0.3333
6 Li 0.7280 0.6667 0.3333
7 O 0.0117 0.0901 0.5581
8 O 0.4909 0.8608 0.7705
9 O 0.9909 0.1392 0.2295
10 O 0.4909 0.2295 0.0904
11 O 0.8051 0.7240 0.1402
12 O 0.3051 0.5838 0.7240
13 O 0.0117 0.4419 0.5319
14 O 0.1198 0.4218 0.2211
15 O 0.4909 0.9096 0.1392
16 O 0.5117 0.9099 0.4419
17 O 0.6198 0.5782 0.7789
18 O 0.9909 0.7705 0.9096
19 O 0.8051 0.8598 0.5838
20 O 0.3051 0.1402 0.4162
21 O 0.3051 0.2760 0.8598
22 O 0.5117 0.5581 0.4681
23 O 0.8051 0.4162 0.2760
24 O 0.9909 0.0904 0.8608
25 O 0.5117 0.5319 0.0901
26 O 0.1198 0.7992 0.5782
27 O 0.6198 0.2008 0.4218
28 O 0.6198 0.2211 0.7992
29 O 0.1198 0.7789 0.2008
30 O 0.0117 0.4681 0.9099
31 Si 0.9828 0.3579 0.3183
32 Si 0.4828 0.0396 0.3579
33 Si 0.4828 0.6421 0.6817
34 Si 0.9828 0.9604 0.6421
35 Si 0.4828 0.3183 0.9604
36 Si 0.9828 0.6817 0.0396
37 Fe 0.6017 0.6900 0.0290
38 Fe 0.1017 0.6609 0.6900
39 Fe 0.1017 0.3100 0.9710
40 Fe 0.6017 0.9710 0.6609
41 Fe 0.1017 0.0290 0.3391
42 Fe 0.6017 0.3391 0.3100

Crystal system = hexagonal
E above lowest polymorph = 63 meV per atom
Symmetry = P6_3

=====

[6]
A crystal of LiFeSiO4 relaxed with PBEsol, computed with SCAN.

Unit cell a=8.4891 b=8.4891 c=8.4891 alpha=107.37 beta=107.37 gamma=107.37
Sites, in units of the cell vectors:
1 Li 0.2298 0.0539 0.4608
2 Li 0.9461 0.5392 0.7702
3 Li 0.0539 0.4608 0.2298
4 Li 0.4608 0.2298 0.0539
5 Li 0.5392 0.7702 0.9461
6 Li 0.7702 0.9461 0.5392
7 O 0.0483 0.7365 0.0343
8 O 0.2530 0.9314 0.6203
9 O 0.6971 0.6448 0.9751
10 O 0.7365 0.0343 0.0483
11 O 0.2941 0.6379 0.3359
12 O 0.6641 0.7059 0.3621
13 O 0.3552 0.0249 0.3029
14 O 0.6448 0.9751 0.6971
15 O 0.3029 0.3552 0.0249
16 O 0.7470 0.0686 0.3797
17 O 0.3797 0.7470 0.0686
18 O 0.9657 0.9517 0.2635
19 O 0.9517 0.2635 0.9657
20 O 0.3359 0.2941 0.6379
21 O 0.0249 0.3029 0.3552
22 O 0.6379 0.3359 0.2941
23 O 0.2635 0.9657 0.9517
24 O 0.6203 0.2530 0.9314
25 O 0.0343 0.0483 0.7365
26 O 0.0686 0.3797 0.7470
27 O 0.7059 0.3621 0.6641
28 O 0.3621 0.6641 0.7059
29 O 0.9314 0.6203 0.2530
30 O 0.9751 0.6971 0.6448
31 Si 0.2657 0.8677 0.0959
32 Si 0.1323 0.9041 0.7343
33 Si 0.9041 0.7343 0.1323
34 Si 0.7343 0.1323 0.9041
35 Si 0.8677 0.0959 0.2657
36 Si 0.0959 0.2657 0.8677
37 Fe 0.3949 0.8017 0.5768
38 Fe 0.4232 0.6051 0.1983
39 Fe 0.1983 0.4232 0.6051
40 Fe 0.5768 0.3949 0.8017
41 Fe 0.6051 0.1983 0.4232
42 Fe 0.8017 0.5768 0.3949

Crystal system = trigonal
E above lowest polymorph = 51 meV per atom
Symmetry = R-3

=====

[7]
A crystal of Li2FeSi4O10 relaxed with PBEsol, computed with SCAN.

Unit cell a=6.7752 b=7.6096 c=9.4010 alpha=68.94 beta=77.14 gamma=63.15
Sites, in units of the cell vectors:
1 O 0.7972 0.6140 0.5619
2 O 0.7298 0.3822 0.4021
3 O 0.9163 0.6305 0.8136
4 O 0.3042 0.9252 0.9928
5 O 0.2702 0.6178 0.5979
6 O 0.3193 0.3614 0.8833
7 O 0.4883 0.1387 0.2740
8 O 0.2028 0.3860 0.4381
9 O 0.6821 0.1971 0.7033
10 O 0.6458 0.4610 0.8514
11 O 0.3542 0.5390 0.1486
12 O 0.0837 0.3695 0.1864
13 O 0.5117 0.8613 0.7260
14 O 0.1616 0.7712 0.8450
15 O 0.3179 0.8029 0.2967
16 O 0.1110 0.1691 0.7398
17 O 0.8890 0.8309 0.2602
18 O 0.8384 0.2288 0.1550
19 O 0.6958 0.0748 0.0072
20 O 0.6807 0.6386 0.1167
21 Fe 0.9220 0.3039 0.5739
22 Fe 0.0780 0.6961 0.4261
23 Li 0.4718 0.3130 0.5519
24 Li 0.8484 0.7991 0.9686
25 Li 0.5282 0.6870 0.4481
26 Li 0.1516 0.2009 0.0314
27 Si 0.2689 0.9379 0.8186
28 Si 0.5963 0.2695 0.8531
29 Si 0.4037 0.7305 0.1469
30 Si 0.1765 0.5971 0.7726
31 Si 0.7311 0.0621 0.1814
32 Si 0.8235 0.4029 0.2274
33 Si 0.7210 0.6396 0.7307
34 Si 0.2790 0.3604 0.2693

Crystal system = triclinic
Symmetry = P-1

=====

[8]
A crystal of LiFeSiO4 relaxed with PBEsol, computed with SCAN.

Unit cell a=5.3526 b=7.8914 c=8.3309 alpha=106.32 beta=90.00 gamma=90.00
Sites, in units of the cell vectors:
1 O 0.8798 0.6829 0.2705
2 O 0.3306 0.0468 0.8980
3 O 0.1936 0.2160 0.1806
4 O 0.6694 0.0468 0.3980
5 O 0.3752 0.3313 0.5717
6 O 0.8037 0.3876 0.4345
7 O 0.2996 0.8175 0.1751
8 O 0.6577 0.5735 0.8409
9 O 0.1202 0.6829 0.7705
10 O 0.1657 0.8892 0.5014
11 O 0.7004 0.8175 0.6751
12 O 0.3423 0.5735 0.3409
13 O 0.8343 0.8892 0.0014
14 O 0.6248 0.3313 0.0717
15 O 0.1963 0.3876 0.9345
16 O 0.8064 0.2160 0.6806
17 Fe 0.1549 0.9713 0.0666
18 Fe 0.3301 0.4975 0.7826
19 Fe 0.8451 0.9713 0.5666
20 Fe 0.6699 0.4975 0.2826
21 Li 0.3426 0.8631 0.6947
22 Li 0.8380 0.3709 0.8991
23 Li 0.6574 0.8631 0.1947
24 Li 0.1620 0.3709 0.3991
25 Si 0.3439 0.2525 0.0196
26 Si 0.8255 0.7388 0.8186
27 Si 0.1745 0.7388 0.3186
28 Si 0.6561 0.2525 0.5196

Crystal system = monoclinic
E above lowest polymorph = 65 meV per atom
Symmetry = Pc

=====

[9]
A crystal of Li2FeSiO4 relaxed with PBEsol, computed with SCAN.

Unit cell a=4.9391 b=5.3077 c=6.2141 alpha=90.00 beta=90.00 gamma=90.00
Sites, in units of the cell vectors:
1 Li 0.5570 0.3340 0.2490
2 Li 0.0570 0.6660 0.2510
3 Li 0.0570 0.6660 0.7490
4 Li 0.5570 0.3340 0.7510
5 O 0.7181 0.1719 0.0000
6 O 0.1601 0.3126 0.2171
7 O 0.6601 0.6874 0.7171
8 O 0.1530 0.8687 0.0000
9 O 0.6530 0.1313 0.5000
10 O 0.1601 0.3126 0.7829
11 O 0.6601 0.6874 0.2829
12 O 0.2181 0.8281 0.5000
13 Fe 0.5584 0.8271 0.0000
14 Fe 0.0584 0.1729 0.5000
15 Si 0.5512 0.8351 0.5000
16 Si 0.0512 0.1649 0.0000

Crystal system = orthorhombic
E above lowest polymorph = 0 meV per atom
Symmetry = Pmn2_1

=====

[10]
A crystal of Li2FeSiO4 relaxed with PBEsol, computed with SCAN.

Unit cell a=5.3026 b=5.3026 c=6.1095 alpha=90.00 beta=90.00 gamma=92.80
Sites, in units of the cell vectors:
1 Fe 0.8227 0.1773 0.2500
2 Fe 0.1773 0.8227 0.7500
3 O 0.8025 0.8109 0.7235
4 O 0.2893 0.6268 0.9994
5 O 0.1975 0.1891 0.2235
6 O 0.8109 0.8025 0.2765
7 O 0.3732 0.7107 0.5006
8 O 0.1891 0.1975 0.7765
9 O 0.6268 0.2893 0.0006
10 O 0.7107 0.3732 0.4994
11 Li 0.6765 0.6765 0.0000
12 Li 0.8124 0.1876 0.7500
13 Li 0.1876 0.8124 0.2500
14 Li 0.3235 0.3235 0.5000
15 Si 0.6812 0.6812 0.5000
16 Si 0.3188 0.3188 0.0000

Crystal system = orthorhombic
E above lowest polymorph = 18 meV per atom
Symmetry = C222_1

=====

[11]
A crystal of Li2FeSiO4 relaxed with PBEsol, computed with SCAN.

Unit cell a=4.9637 b=5.3829 c=6.1717 alpha=90.00 beta=90.65 gamma=90.00
Sites, in units of the cell vectors:
1 O 0.1000 0.3156 0.0330
2 O 0.1619 0.8244 0.7536
3 O 0.0972 0.3220 0.4744
4 O 0.1032 0.8858 0.2543
5 O 0.6032 0.1142 0.7543
6 O 0.6000 0.6844 0.5330
7 O 0.5972 0.6780 0.9744
8 O 0.6619 0.1756 0.2536
9 Li 0.9995 0.1569 0.7534
10 Li 0.9971 0.6771 0.5012
11 Li 0.4971 0.3229 0.0012
12 Li 0.4995 0.8431 0.2534
13 Fe 0.9980 0.6685 0.0095
14 Fe 0.4980 0.3315 0.5095
15 Si 0.9937 0.1746 0.2539
16 Si 0.4937 0.8254 0.7539

Crystal system = monoclinic
E above lowest polymorph = 7 meV per atom
Symmetry = Pc

=====

[12]
A crystal of LiFeSiO4 relaxed with PBEsol, computed with SCAN.

Unit cell a=4.9043 b=4.9043 c=6.1279 alpha=90.00 beta=90.00 gamma=112.46
Sites, in units of the cell vectors:
1 Fe 0.5000 0.5000 0.5000
2 Fe 0.5000 0.5000 0.0000
3 O 0.2138 0.2645 0.2500
4 O 0.7328 0.2672 0.4665
5 O 0.7328 0.2672 0.0335
6 O 0.2645 0.2138 0.7500
7 O 0.7355 0.7862 0.2500
8 O 0.2672 0.7328 0.9665
9 O 0.7862 0.7355 0.7500
10 O 0.2672 0.7328 0.5335
11 Li 0.8297 0.1703 0.7500
12 Li 0.1703 0.8297 0.2500
13 Si 0.1526 0.8474 0.7500
14 Si 0.8474 0.1526 0.2500

Crystal system = orthorhombic
E above lowest polymorph = 35 meV per atom
Symmetry = Cmcm

=====

[13]
A crystal of Li4FeSi2O8 relaxed with PBEsol, computed with SCAN.

Unit cell a=4.6555 b=5.2158 c=6.1061 alpha=98.55 beta=91.68 gamma=102.75
Sites, in units of the cell vectors:
1 Li 0.7510 0.4502 0.8238
2 Li 0.8319 0.6926 0.4627
3 Li 0.1681 0.3074 0.5373
4 Li 0.2490 0.5498 0.1762
5 O 0.7291 0.8591 0.2090
6 O 0.2810 0.1595 0.2319
7 O 0.7392 0.3092 0.5135
8 O 0.1759 0.7099 0.9235
9 O 0.2608 0.6908 0.4865
10 O 0.8241 0.2901 0.0765
11 O 0.7190 0.8405 0.7681
12 O 0.2709 0.1409 0.7910
13 Si 0.6296 0.1477 0.2701
14 Si 0.3704 0.8523 0.7299
15 Fe 0.0000 0.0000 0.0000

Crystal system = triclinic
Symmetry = P-1

=====

| no. | ΔE_f (raw) (meV/atom) | spin magnetization (μB/f.u.) |
| --- | --- | --- |
| 1 | -2704 | 8.00 |
| 2 | -2052 | 0.91 |
| 3 | -2368 | 4.00 |
| 4 | -2622 | 4.00 |
| 5 | -2362 | 5.00 |
| 6 | -2375 | 5.00 |
| 7 | -2692 | 4.00 |
| 8 | -2361 | 0.00 |
| 9 | -2410 | 4.00 |
| 10 | -2392 | 4.00 |
| 11 | -2403 | 4.00 |
| 12 | -2391 | 5.00 |
| 13 | -2421 | 2.00 |